VASP calculation (PBE) on an optimized crystal structure of Ti8SnS2.

Cell and atoms, written as extended XYZ:
```
11
Lattice="-2.422 2.656 7.113 2.422 -2.656 7.113 2.422 2.656 -7.113" Properties=species:S:1:pos:R:3 pbc="T T T"
Ti 0.000 0.000 1.444
Ti 2.422 1.317 -1.340
Ti 2.422 0.000 3.902
Ti 2.422 1.317 1.340
Ti 0.000 1.338 5.774
Ti 0.000 2.656 3.211
Ti 0.000 1.338 8.453
Ti 0.000 0.000 12.782
Sn 0.000 2.656 0.000
S 0.000 0.000 3.773
S 0.000 0.000 10.454
```

Output
Energy, eV per formula unit: -81.0
SG: No. 71
ΔE_f (raw), eV/atom: -0.51